Compound: Tm6Pt3Rh
Source: the Alexandria database
Functional: PBE-GGA
Structure: relaxed

Computed properties:
The value obtained for the total energy is -6.15 eV per atom. As for the mass density: 12.2 g/cm³. The value obtained for the total magnetic moment is 0.00 μB per atom.

Cell: 8.0714 11.9967 4.7986 Å, 90.00 90.00 90.00°
Atoms (fractional coordinates):
Tm: 0.0015 0.2410 0.0000
Tm: 0.1507 0.4060 0.5000
Tm: 0.1762 0.0750 0.5000
Tm: 0.3238 0.5750 0.0000
Tm: 0.3493 0.9060 0.0000
Tm: 0.4985 0.7410 0.5000
Tm: 0.5015 0.2590 0.5000
Tm: 0.6507 0.0940 0.0000
Tm: 0.6762 0.4250 0.0000
Tm: 0.8238 0.9250 0.5000
Tm: 0.8493 0.5940 0.5000
Tm: 0.9985 0.7590 0.0000
Pt: 0.0000 0.0000 0.0000
Pt: 0.1669 0.8310 0.5000
Pt: 0.3331 0.3310 0.0000
Pt: 0.5000 0.5000 0.5000
Pt: 0.6669 0.6690 0.0000
Pt: 0.8331 0.1690 0.5000
Rh: 0.0000 0.5000 0.0000
Rh: 0.5000 0.0000 0.5000